No. 1
Here is an optimized crystal structure of ErTiNiRu from the Alexandria database. Energies are from PBE.

Computed properties:
total moment = 0.00 μB per formula unit
E_form = -0.380 eV/atom
electronic total energy = -7.259 eV/atom

a = 4.5381 Å, b = 4.5381 Å, c = 4.5381 Å
α = 60.00°, β = 60.00°, γ = 60.00°
Last column: nearest neighbours and their distance in Å.
Fractional coordinates of all 4 atoms:
1 Ru 0.5000 0.5000 0.5000  4 Er 2.78, 4 Ti 2.78
2 Ti 0.2500 0.2500 0.2500  4 Ru 2.78, 4 Ni 2.78
3 Ni 0.0000 0.0000 0.0000  4 Ti 2.78, 4 Er 2.78
4 Er 0.7500 0.7500 0.7500  4 Ni 2.78, 4 Ru 2.78

=====

No. 2
Here is an optimized crystal structure of Mg3CoAg from the Alexandria database. Energies are from PBE.

Computed properties:
total moment = 0.00 μB per formula unit
relative energy among the computed polymorphs = 0.00 kJ per mole of atoms
E_form = 0.364 eV/atom
electronic total energy = -2.584 eV/atom

a = 4.7556 Å, b = 4.7556 Å, c = 4.7556 Å
α = 90.00°, β = 90.00°, γ = 90.00°
Last column: nearest neighbours and their distance in Å.
Fractional coordinates of all 5 atoms:
1 Mg 0.0000 0.5000 0.0000  2 Co 2.38
2 Mg 0.0000 0.0000 0.5000  2 Co 2.38
3 Mg 0.5000 0.0000 0.0000  2 Co 2.38
4 Co 0.0000 0.0000 0.0000  6 Mg 2.38
5 Ag 0.5000 0.5000 0.5000  12 Mg 3.36

=====

No. 3
Here is an optimized crystal structure of Ac3ScS6 from the Alexandria database. Energies are from PBE.

Computed properties:
total moment = 0.00 μB per formula unit
electronic total energy = -6.437 eV/atom

a = 8.4356 Å, b = 8.4356 Å, c = 8.4356 Å
α = 92.82°, β = 92.82°, γ = 92.82°
Last column: nearest neighbours and their distance in Å.
Fractional coordinates of all 20 atoms:
1 Ac 0.0806 0.5748 0.2566  6 S 2.95-3.02
2 Ac 0.2566 0.0806 0.5748  6 S 2.95-3.02
3 Ac 0.4252 0.7434 0.9194  6 S 2.95-3.02
4 Ac 0.5748 0.2566 0.0806  6 S 2.95-3.02
5 Ac 0.7434 0.9194 0.4252  6 S 2.95-3.02
6 Ac 0.9194 0.4252 0.7434  6 S 2.95-3.02
7 Sc 0.0000 0.0000 0.0000  6 S 2.65
8 Sc 0.5000 0.5000 0.5000  6 S 2.60
9 S 0.0704 0.7034 0.9291  1 Sc 2.65, 1 Ac 2.95
10 S 0.0709 0.9296 0.2966  1 Sc 2.65, 1 Ac 2.95
11 S 0.2043 0.4222 0.5484  1 Sc 2.60
12 S 0.2966 0.0709 0.9296  1 Sc 2.65, 1 Ac 2.95
13 S 0.4222 0.5484 0.2043  1 Sc 2.60
14 S 0.4516 0.7957 0.5778  1 Sc 2.60
15 S 0.5484 0.2043 0.4222  1 Sc 2.60
16 S 0.5778 0.4516 0.7957  1 Sc 2.60
17 S 0.7034 0.9291 0.0704  1 Sc 2.65, 1 Ac 2.95
18 S 0.7957 0.5778 0.4516  1 Sc 2.60
19 S 0.9291 0.0704 0.7034  1 Sc 2.65, 1 Ac 2.95
20 S 0.9296 0.2966 0.0709  1 Sc 2.65, 1 Ac 2.95

=====

No. 4
Here is an optimized crystal structure of Cr2PdRu from the Alexandria database. Energies are from PBE.

Computed properties:
total moment = 0.00 μB per formula unit
E_form = 0.139 eV/atom
electronic total energy = -8.290 eV/atom

a = 3.6972 Å, b = 3.7703 Å, c = 3.7703 Å
α = 90.00°, β = 90.00°, γ = 90.00°
Last column: nearest neighbours and their distance in Å.
Fractional coordinates of all 4 atoms:
1 Ru 0.5000 0.0000 0.0000  8 Cr 2.64, 4 Pd 2.67
2 Pd 0.5000 0.5000 0.5000  8 Cr 2.64, 4 Ru 2.67
3 Cr 0.0000 0.0000 0.5000  4 Ru 2.64, 4 Pd 2.64, 4 Cr 2.67
4 Cr 0.0000 0.5000 0.0000  4 Ru 2.64, 4 Pd 2.64, 4 Cr 2.67